1.
# LaDyGa2

A relaxed structure of LaDyGa2 (PBE, Alexandria via LeMat-Bulk).

Properties
ΔE_f = -0.57 eV per atom
N(E_F) = 1.57 states/eV/cell
Raw total energy = -4.47 eV per atom
Space-group type = Fm-3m (225)
Energy relative to the lowest polymorph listed for this composition = 23.1 meV/atom
Calculated volume = 24.86 Å³/atom

```
4
Lattice="0.0000 3.6770 3.6770 3.6770 0.0000 3.6770 3.6770 3.6770 0.0000" Properties=species:S:1:pos:R:3 pbc="T T T"
La 0.0000 0.0000 0.0000
Dy 3.6770 3.6770 3.6770
Ga 1.8385 1.8385 1.8385
Ga 5.5154 5.5154 5.5154
```

=====

2.
# BeAlIn2

A relaxed structure of BeAlIn2 (PBE, Alexandria via LeMat-Bulk).

Properties
ΔE_f = 0.44 eV per atom
N(E_F) = 1.05 states/eV/cell
Raw total energy = -2.80 eV per atom
Space-group type = P4/mmm (123)
Energy relative to the lowest polymorph listed for this composition = 146.9 meV/atom
Calculated volume = 19.76 Å³/atom

```
4
Lattice="4.4351 0.0000 0.0000 0.0000 4.4351 0.0000 0.0000 0.0000 4.0183" Properties=species:S:1:pos:R:3 pbc="T T T"
Be 0.0000 0.0000 0.0000
Al 2.2175 2.2175 0.0000
In 0.0000 2.2175 2.0091
In 2.2175 0.0000 2.0091
```

=====

3.
# PrZrVN3

A relaxed structure of PrZrVN3 (PBE, Alexandria via LeMat-Bulk).

Properties
N(E_F) = 5.06 states/eV/cell
Raw total energy = -9.10 eV per atom
Space-group type = P2_1/m (11)
Calculated volume = 14.96 Å³/atom
E_form (uncorrected) = -1.1995 eV/atom

```
12
Lattice="7.1797 0.0000 0.0000 0.0000 3.3702 0.0000 -1.6307 0.0000 7.4170" Properties=species:S:1:pos:R:3 pbc="T T T"
Pr 1.0074 0.8426 1.3663
Pr 4.5417 2.5277 6.0507
Zr 1.1812 2.5277 6.3127
Zr 4.3678 0.8426 1.1042
V -0.3049 0.8426 4.4761
V 5.8540 2.5277 2.9409
N -0.5120 0.8426 6.3320
N 0.4306 2.5277 3.8923
N 2.8664 2.5277 1.0885
N 2.6827 0.8426 6.3285
N 5.1185 0.8426 3.5246
N 6.0610 2.5277 1.0849
```